[1]
First-principles (GGA-PBE) data for crystalline BaAcH2 at its relaxed geometry, as listed in Alexandria.

Lattice parameters (Å, degrees): 7.462 7.462 7.462 32.61 32.61 32.61
Positions (direct):
Ba  0.000  0.000  0.000
Ac  0.814  0.814  0.814
H  0.128  0.128  0.128
H  0.424  0.424  0.424

SG: No. 160
E_tot: -3.441 eV per atom


[2]
First-principles (GGA-PBE) data for crystalline Ba4AcH10 at its relaxed geometry, as listed in Alexandria.

Lattice parameters (Å, degrees): 18.276 18.276 18.276 13.74 13.74 13.74
Positions (direct):
Ba  0.102  0.102  0.102
Ba  0.299  0.299  0.299
Ba  0.701  0.701  0.701
Ba  0.898  0.898  0.898
Ac  0.500  0.500  0.500
H  0.052  0.052  0.052
H  0.154  0.154  0.154
H  0.249  0.249  0.249
H  0.350  0.350  0.350
H  0.454  0.454  0.454
H  0.546  0.546  0.546
H  0.650  0.650  0.650
H  0.751  0.751  0.751
H  0.846  0.846  0.846
H  0.948  0.948  0.948

SG: No. 166
E_tot: -3.516 eV per atom


[3]
First-principles (GGA-PBE) data for crystalline BaAcH4 at its relaxed geometry, as listed in Alexandria.

Lattice parameters (Å, degrees): 4.241 4.241 6.200 90.00 90.00 90.00
Positions (direct):
Ba  0.000  0.000  0.000
Ac  0.500  0.500  0.500
H  0.000  0.500  0.272
H  0.000  0.500  0.728
H  0.500  0.000  0.272
H  0.500  0.000  0.728

SG: No. 123
E_tot: -3.765 eV per atom


[4]
First-principles (GGA-PBE) data for crystalline BaAc2H7 at its relaxed geometry, as listed in Alexandria.

Lattice parameters (Å, degrees): 9.355 9.355 9.355 153.68 153.68 37.56
Positions (direct):
Ba  0.000  0.000  0.000
Ac  0.337  0.337  0.000
Ac  0.663  0.663  0.000
H  0.097  0.597  0.500
H  0.250  0.750  0.500
H  0.403  0.903  0.500
H  0.500  0.500  0.000
H  0.597  0.097  0.500
H  0.750  0.250  0.500
H  0.903  0.403  0.500

SG: No. 139
E_tot: -3.904 eV per atom


[5]
First-principles (GGA-PBE) data for crystalline Ba2AcH6 at its relaxed geometry, as listed in Alexandria.

Lattice parameters (Å, degrees): 7.515 7.515 7.515 146.58 131.32 60.33
Positions (direct):
Ba  0.167  0.167  0.000
Ba  0.833  0.833  0.000
Ac  0.500  0.500  0.000
H  0.104  0.342  0.762
H  0.276  0.000  0.276
H  0.419  0.658  0.762
H  0.581  0.342  0.238
H  0.724  0.000  0.724
H  0.896  0.658  0.238

SG: No. 71
E_tot: -3.628 eV per atom


[6]
First-principles (GGA-PBE) data for crystalline Ba4Ac2H at its relaxed geometry, as listed in Alexandria.

Lattice parameters (Å, degrees): 11.144 11.144 11.144 151.18 151.18 41.22
Positions (direct):
Ba  0.000  0.500  0.500
Ba  0.147  0.147  0.000
Ba  0.500  0.000  0.500
Ba  0.853  0.853  0.000
Ac  0.327  0.327  0.000
Ac  0.673  0.673  0.000
H  0.000  0.000  0.000

SG: No. 139
E_tot: -2.596 eV per atom


[7]
First-principles (GGA-PBE) data for crystalline Ba12Ac3H5 at its relaxed geometry, as listed in Alexandria.

Lattice parameters (Å, degrees): 16.553 16.553 16.553 109.47 109.47 109.47
Positions (direct):
Ba  0.000  0.192  0.102
Ba  0.000  0.307  0.898
Ba  0.000  0.693  0.102
Ba  0.000  0.808  0.898
Ba  0.090  0.692  0.693
Ba  0.090  0.898  0.398
Ba  0.102  0.000  0.192
Ba  0.102  0.000  0.693
Ba  0.102  0.602  0.410
Ba  0.102  0.602  0.910
Ba  0.192  0.102  0.000
Ba  0.192  0.590  0.193
Ba  0.193  0.192  0.590
Ba  0.193  0.500  0.602
Ba  0.307  0.898  0.000
Ba  0.307  0.910  0.308
Ba  0.308  0.307  0.910
Ba  0.308  0.500  0.398
Ba  0.398  0.090  0.898
Ba  0.398  0.308  0.500
Ba  0.398  0.590  0.898
Ba  0.398  0.807  0.500
Ba  0.410  0.102  0.602
Ba  0.410  0.807  0.808
Ba  0.500  0.398  0.308
Ba  0.500  0.398  0.807
Ba  0.500  0.602  0.193
Ba  0.500  0.602  0.692
Ba  0.590  0.193  0.192
Ba  0.590  0.898  0.398
Ba  0.602  0.193  0.500
Ba  0.602  0.410  0.102
Ba  0.602  0.692  0.500
Ba  0.602  0.910  0.102
Ba  0.692  0.500  0.602
Ba  0.692  0.693  0.090
Ba  0.693  0.090  0.692
Ba  0.693  0.102  0.000
Ba  0.807  0.500  0.398
Ba  0.807  0.808  0.410
Ba  0.808  0.410  0.807
Ba  0.808  0.898  0.000
Ba  0.898  0.000  0.307
Ba  0.898  0.000  0.808
Ba  0.898  0.398  0.090
Ba  0.898  0.398  0.590
Ba  0.910  0.102  0.602
Ba  0.910  0.308  0.307
Ac  0.125  0.250  0.375
Ac  0.125  0.375  0.750
Ac  0.250  0.375  0.125
Ac  0.250  0.875  0.625
Ac  0.375  0.125  0.250
Ac  0.375  0.750  0.125
Ac  0.625  0.250  0.875
Ac  0.625  0.875  0.750
Ac  0.750  0.125  0.375
Ac  0.750  0.625  0.875
Ac  0.875  0.625  0.250
Ac  0.875  0.750  0.625
H  0.000  0.000  0.000
H  0.000  0.000  0.500
H  0.000  0.500  0.000
H  0.000  0.500  0.500
H  0.125  0.750  0.875
H  0.125  0.875  0.250
H  0.250  0.125  0.875
H  0.250  0.625  0.375
H  0.375  0.250  0.625
H  0.375  0.625  0.750
H  0.500  0.000  0.000
H  0.500  0.000  0.500
H  0.500  0.500  0.000
H  0.500  0.500  0.500
H  0.625  0.375  0.250
H  0.625  0.750  0.375
H  0.750  0.375  0.625
H  0.750  0.875  0.125
H  0.875  0.125  0.750
H  0.875  0.250  0.125

SG: No. 230
E_tot: -2.586 eV per atom


[8]
First-principles (GGA-PBE) data for crystalline BaAcH2 at its relaxed geometry, as listed in Alexandria.

Lattice parameters (Å, degrees): 7.488 7.488 7.488 32.86 32.86 32.86
Positions (direct):
Ba  0.000  0.000  0.000
Ac  0.500  0.500  0.500
H  0.383  0.383  0.383
H  0.617  0.617  0.617

SG: No. 166
E_tot: -3.495 eV per atom


[9]
First-principles (GGA-PBE) data for crystalline Ba3AcH at its relaxed geometry, as listed in Alexandria.

Lattice parameters (Å, degrees): 5.960 5.960 5.960 90.00 90.00 90.00
Positions (direct):
Ba  0.000  0.000  0.500
Ba  0.000  0.500  0.000
Ba  0.500  0.000  0.000
Ac  0.500  0.500  0.500
H  0.000  0.000  0.000

SG: No. 221
E_tot: -2.687 eV per atom


[10]
First-principles (GGA-PBE) data for crystalline BaAcNi2H6 at its relaxed geometry, as listed in Alexandria.

Lattice parameters (Å, degrees): 6.062 6.062 8.355 104.09 104.09 92.88
Positions (direct):
Ba  0.101  0.899  0.750
Ba  0.899  0.101  0.250
Ac  0.428  0.572  0.250
Ac  0.572  0.428  0.750
Ni  0.105  0.428  0.888
Ni  0.428  0.105  0.388
Ni  0.572  0.895  0.612
Ni  0.895  0.572  0.112
H  0.035  0.357  0.051
H  0.085  0.420  0.695
H  0.309  0.333  0.435
H  0.333  0.309  0.935
H  0.357  0.035  0.551
H  0.420  0.085  0.195
H  0.580  0.915  0.805
H  0.643  0.965  0.449
H  0.667  0.691  0.065
H  0.691  0.667  0.565
H  0.915  0.580  0.305
H  0.965  0.643  0.949

SG: No. 15
E_tot: -4.157 eV per atom


[11]
First-principles (GGA-PBE) data for crystalline BaAcH6Pd2 at its relaxed geometry, as listed in Alexandria.

Lattice parameters (Å, degrees): 6.749 6.749 7.289 104.86 104.86 102.79
Positions (direct):
Ba  0.160  0.840  0.750
Ba  0.840  0.160  0.250
Ac  0.410  0.590  0.250
Ac  0.590  0.410  0.750
H  0.080  0.579  0.367
H  0.126  0.217  0.992
H  0.217  0.126  0.492
H  0.299  0.519  0.876
H  0.421  0.920  0.133
H  0.481  0.701  0.624
H  0.519  0.299  0.376
H  0.579  0.080  0.867
H  0.701  0.481  0.124
H  0.783  0.874  0.508
H  0.874  0.783  0.008
H  0.920  0.421  0.633
Pd  0.043  0.323  0.812
Pd  0.323  0.043  0.312
Pd  0.677  0.957  0.688
Pd  0.957  0.677  0.188

SG: No. 15
E_tot: -4.106 eV per atom


[12]
First-principles (GGA-PBE) data for crystalline BaAcH6Pd4 at its relaxed geometry, as listed in Alexandria.

Lattice parameters (Å, degrees): 5.081 5.081 7.763 90.00 90.00 120.00
Positions (direct):
Ba  0.000  0.000  0.000
Ac  0.000  0.000  0.500
H  0.000  0.500  0.188
H  0.000  0.500  0.812
H  0.500  0.000  0.188
H  0.500  0.000  0.812
H  0.500  0.500  0.188
H  0.500  0.500  0.812
Pd  0.333  0.667  0.313
Pd  0.333  0.667  0.687
Pd  0.667  0.333  0.313
Pd  0.667  0.333  0.687

SG: No. 191
E_tot: -4.295 eV per atom


[13]
First-principles (GGA-PBE) data for crystalline Ba2AcH12Pd3 at its relaxed geometry, as listed in Alexandria.

Lattice parameters (Å, degrees): 6.646 6.646 6.646 63.67 63.67 63.67
Positions (direct):
Ba  0.109  0.109  0.109
Ba  0.891  0.891  0.891
Ac  0.500  0.500  0.500
H  0.065  0.630  0.630
H  0.226  0.226  0.598
H  0.226  0.598  0.226
H  0.370  0.370  0.935
H  0.370  0.935  0.370
H  0.402  0.774  0.774
H  0.598  0.226  0.226
H  0.630  0.065  0.630
H  0.630  0.630  0.065
H  0.774  0.402  0.774
H  0.774  0.774  0.402
H  0.935  0.370  0.370
Pd  0.000  0.500  0.500
Pd  0.500  0.000  0.500
Pd  0.500  0.500  0.000

SG: No. 166
E_tot: -3.870 eV per atom


[14]
First-principles (GGA-PBE) data for crystalline BaAcH8Pt2 at its relaxed geometry, as listed in Alexandria.

Lattice parameters (Å, degrees): 7.652 7.652 7.652 38.70 38.70 38.70
Positions (direct):
Ba  0.000  0.000  0.000
Ac  0.500  0.500  0.500
H  0.067  0.559  0.559
H  0.152  0.152  0.152
H  0.441  0.441  0.933
H  0.441  0.933  0.441
H  0.559  0.067  0.559
H  0.559  0.559  0.067
H  0.848  0.848  0.848
H  0.933  0.441  0.441
Pt  0.232  0.232  0.232
Pt  0.768  0.768  0.768

SG: No. 166
E_tot: -4.055 eV per atom


[15]
First-principles (GGA-PBE) data for crystalline BaAcHPt at its relaxed geometry, as listed in Alexandria.

Lattice parameters (Å, degrees): 6.064 6.064 6.361 90.00 90.00 90.00
Positions (direct):
Ba  0.250  0.250  0.001
Ba  0.750  0.750  0.999
Ac  0.250  0.750  0.500
Ac  0.750  0.250  0.500
H  0.250  0.750  0.000
H  0.750  0.250  0.000
Pt  0.250  0.250  0.501
Pt  0.750  0.750  0.499

SG: No. 129
E_tot: -4.544 eV per atom


[16]
First-principles (GGA-PBE) data for crystalline BaAcH6Pt2 at its relaxed geometry, as listed in Alexandria.

Lattice parameters (Å, degrees): 6.933 6.933 8.053 117.99 117.99 80.28
Positions (direct):
Ba  0.121  0.879  0.750
Ba  0.879  0.121  0.250
Ac  0.379  0.621  0.250
Ac  0.621  0.379  0.750
H  0.071  0.799  0.357
H  0.179  0.325  0.244
H  0.201  0.929  0.143
H  0.325  0.179  0.744
H  0.332  0.581  0.887
H  0.419  0.668  0.613
H  0.581  0.332  0.387
H  0.668  0.419  0.113
H  0.675  0.821  0.256
H  0.799  0.071  0.857
H  0.821  0.675  0.756
H  0.929  0.201  0.643
Pt  0.139  0.383  0.768
Pt  0.383  0.139  0.268
Pt  0.617  0.861  0.732
Pt  0.861  0.617  0.232

SG: No. 15
E_tot: -4.346 eV per atom


[17]
First-principles (GGA-PBE) data for crystalline BaAcHPt at its relaxed geometry, as listed in Alexandria.

Lattice parameters (Å, degrees): 5.281 5.281 5.281 60.00 60.00 60.00
Positions (direct):
Ba  0.000  0.000  0.000
Ac  0.500  0.500  0.500
H  0.250  0.250  0.250
Pt  0.750  0.750  0.750

SG: No. 216
E_tot: -4.259 eV per atom


[18]
First-principles (GGA-PBE) data for crystalline BaAcH6Rh2 at its relaxed geometry, as listed in Alexandria.

Lattice parameters (Å, degrees): 6.647 6.647 7.230 104.84 104.84 102.62
Positions (direct):
Ba  0.154  0.846  0.750
Ba  0.846  0.154  0.250
Ac  0.411  0.589  0.250
Ac  0.589  0.411  0.750
H  0.078  0.576  0.369
H  0.122  0.218  0.998
H  0.218  0.122  0.498
H  0.285  0.516  0.872
H  0.424  0.922  0.131
H  0.484  0.715  0.628
H  0.516  0.285  0.372
H  0.576  0.078  0.869
H  0.715  0.484  0.128
H  0.782  0.878  0.502
H  0.878  0.782  0.002
H  0.922  0.424  0.631
Rh  0.034  0.330  0.820
Rh  0.330  0.034  0.320
Rh  0.670  0.966  0.680
Rh  0.966  0.670  0.180

SG: No. 15
E_tot: -4.490 eV per atom


no.,ρ (Mg/m³)
1,5.67
2,4.36
3,5.48
4,6.18
5,4.85
6,5.20
7,4.44
8,5.53
9,5.02
10,5.65
11,6.56
12,7.62
13,6.16
14,8.04
15,7.96
16,8.39
17,8.94
18,6.73